## SiAsIBr2 (PBE)

Data for crystalline SiAsIBr2 at its relaxed geometry.

Geometry as POSCAR:
```
SiAsIBr2
1.0
4.9187 0.0000 0.0000
0.0000 4.9187 0.0000
0.0000 0.0000 5.5960
Si As I Br
1 1 1 2
Direct
0.0000 0.0000 0.0000
0.0000 0.0000 0.5000
0.5000 0.5000 0.5000
0.0000 0.5000 0.0000
0.5000 0.0000 0.0000
```

## Properties
- Total magnetization: 0.000 μB per cell
- Energy above the most stable polymorph in this dataset: 0.0 meV per atom
- E_form (uncorrected): 0.2259 eV per atom
- Fermi-level density of states: 2.59 states/eV/cell
- Electronic total energy: -13.8 eV/cell

=====

## Sr4AsI2Br (PBE)

Data for crystalline Sr4AsI2Br at its relaxed geometry.

Geometry as POSCAR:
```
Sr4AsI2Br
1.0
7.9024 0.0000 0.0000
0.0000 4.6103 0.0000
-2.6823 0.0000 7.8584
Sr As I Br
4 1 2 1
Direct
0.2209 0.0000 0.2092
0.2434 0.5000 0.7811
0.7566 0.5000 0.2189
0.7791 0.0000 0.7908
0.0000 0.5000 0.0000
0.0000 0.0000 0.5000
0.5000 0.5000 0.5000
0.5000 0.0000 0.0000
```

## Properties
- Total magnetization: 0.000 μB per cell
- E_form (uncorrected): -1.3379 eV per atom
- Fermi-level density of states: 3.49 states/eV/cell
- Electronic total energy: -26.9 eV/cell

=====

## Sr6As2IBr3 (PBE)

Data for crystalline Sr6As2IBr3 at its relaxed geometry.

Geometry as POSCAR:
```
Sr6As2IBr3
1.0
9.9086 -2.2979 0.0000
9.9086 2.2979 0.0000
-1.9036 0.0000 9.0040
Sr As I Br
6 2 1 3
Direct
0.0109 0.0109 0.2688
0.3262 0.3262 0.4383
0.3269 0.3269 0.8844
0.6731 0.6731 0.1156
0.6738 0.6738 0.5617
0.9891 0.9891 0.7312
0.1665 0.1665 0.3305
0.8335 0.8335 0.6695
0.5000 0.5000 0.0000
0.1612 0.1612 0.8365
0.5000 0.5000 0.5000
0.8388 0.8388 0.1635
```

## Properties
- Total magnetization: 0.000 μB per cell
- E_form (uncorrected): -1.4587 eV per atom
- Fermi-level density of states: 5.28 states/eV/cell
- Electronic total energy: -43.5 eV/cell

=====

## TaAs2IBr (PBE)

Data for crystalline TaAs2IBr at its relaxed geometry.

Geometry as POSCAR:
```
TaAs2IBr
1.0
5.3461 0.0000 0.0000
0.0000 5.3461 0.0000
0.0000 0.0000 5.3819
Ta As I Br
1 2 1 1
Direct
0.0000 0.0000 0.0000
0.0000 0.5000 0.5000
0.5000 0.0000 0.5000
0.5000 0.5000 0.5000
0.5000 0.5000 0.0000
```

## Properties
- Total magnetization: 1.840 μB per cell
- Energy above the most stable polymorph in this dataset: 1612.5 meV per atom
- E_form (uncorrected): 1.7790 eV per atom
- Fermi-level density of states: 4.89 states/eV/cell
- Electronic total energy: -15.5 eV/cell